Record 1
Compound: Nd7Er12Sc
Source: Alexandria
Functional: GGA-PBE
Structure: optimized geometry

Cell and atoms, written as POSCAR:
```
Nd7Er12Sc
1.0
-6.907 -6.040 3.259
7.509 -5.187 -3.397
3.028 5.703 7.289
Er Nd Sc
12 7 1
Direct
0.482 0.240 0.241
0.518 0.760 0.759
0.001 0.760 0.241
0.760 0.241 0.001
0.241 0.001 0.760
0.240 0.759 0.999
0.759 0.999 0.240
0.241 0.482 0.240
0.759 0.518 0.760
0.240 0.241 0.482
0.999 0.240 0.759
0.760 0.759 0.518
0.500 0.000 0.500
0.000 0.000 0.500
0.500 0.000 0.000
0.500 0.500 0.500
0.000 0.500 0.000
0.500 0.500 0.000
0.000 0.500 0.500
0.000 0.000 0.000
```

Calculated values
The total energy is -4.035 eV/atom. The calculation puts the calculated formation energy at 0.688 eV per atom. The volume is 35.5 Å³ per atom.

---

Record 2
Compound: Tb2IrCl
Source: Alexandria
Functional: GGA-PBE
Structure: optimized geometry

Cell and atoms, written as POSCAR:
```
Tb2IrCl
1.0
-1.554 2.994 0.114
-0.397 -0.078 -3.351
-7.076 -3.708 0.925
Tb Cl Ir
2 1 1
Direct
0.000 0.000 0.788
0.000 0.000 0.212
0.500 0.500 0.500
0.500 0.500 0.000
```

Calculated values
Its formation energy without anion corrections is -1.053 eV per atom. The total energy is -6.045 eV/atom. The volume is 22.9 Å³ per atom. Its energy above the most stable polymorph in this dataset is 165 meV per atom.

---

Record 3
Compound: LiBeV
Source: Alexandria
Functional: GGA-PBE
Structure: optimized geometry

Cell and atoms, written as POSCAR:
```
LiBeV
1.0
6.869 0.000 0.000
0.000 4.872 0.000
0.000 0.000 3.974
Li V Be
4 4 4
Direct
0.167 0.250 0.500
0.667 0.250 0.000
0.833 0.750 0.500
0.333 0.750 0.000
0.666 0.750 0.000
0.166 0.750 0.500
0.834 0.250 0.500
0.334 0.250 0.000
0.500 0.000 0.500
0.500 0.500 0.500
0.000 0.500 0.000
0.000 0.000 0.000
```

Calculated values
The total energy is -4.395 eV/atom. The calculation puts the calculated formation energy at 0.524 eV per atom. The volume is 11.1 Å³ per atom. Its energy above the most stable polymorph in this dataset is 384 meV per atom.

---

Record 4
Compound: Hf4CuSi4
Source: Alexandria
Functional: GGA-PBE
Structure: optimized geometry

Cell and atoms, written as POSCAR:
```
Hf4CuSi4
1.0
-1.208 -3.977 -3.147
-1.457 -4.983 0.473
-8.635 -0.420 -0.711
Hf Si Cu
4 4 1
Direct
0.754 0.754 0.842
0.108 0.108 0.619
0.892 0.892 0.381
0.246 0.246 0.158
0.385 0.385 0.614
0.463 0.463 0.850
0.537 0.537 0.150
0.615 0.615 0.386
0.000 0.000 0.000
```

Calculated values
Its formation energy without anion corrections is -0.759 eV per atom. The total energy is -8.048 eV/atom. The volume is 16.6 Å³ per atom.

---

Record 5
Compound: Dy2RhO
Source: Alexandria
Functional: GGA-PBE
Structure: optimized geometry

Cell and atoms, written as POSCAR:
```
Dy2RhO
1.0
-2.745 0.449 1.474
-1.083 -2.704 -1.194
2.399 -3.391 5.501
Dy Rh O
2 1 1
Direct
0.000 0.000 0.770
0.000 0.000 0.230
0.500 0.500 0.500
0.500 0.500 0.000
```

Calculated values
Its formation energy without anion corrections is -1.365 eV per atom. The total energy is -6.743 eV/atom. The volume is 17.1 Å³ per atom. Its energy above the most stable polymorph in this dataset is 301 meV per atom.

---

Record 6
Compound: CaPrPuO6
Source: Alexandria
Functional: GGA-PBE
Structure: optimized geometry

Cell and atoms, written as POSCAR:
```
CaPrPuO6
1.0
5.768 0.000 0.000
-2.884 4.995 0.000
0.000 0.000 9.827
O Pu Pr Ca
12 2 2 2
Direct
0.373 0.043 0.137
0.373 0.331 0.363
0.043 0.669 0.863
0.627 0.669 0.637
0.627 0.957 0.863
0.043 0.373 0.637
0.669 0.627 0.137
0.957 0.627 0.363
0.331 0.373 0.863
0.331 0.957 0.637
0.957 0.331 0.137
0.669 0.043 0.363
0.333 0.667 0.750
0.667 0.333 0.250
0.000 0.000 0.000
0.000 0.000 0.500
0.333 0.667 0.250
0.667 0.333 0.750
```

Calculated values
Its formation energy without anion corrections is -2.812 eV per atom. The total energy is -8.463 eV/atom. The volume is 15.7 Å³ per atom.

---

Record 7
Compound: MoAuSe2
Source: Alexandria
Functional: GGA-PBE
Structure: optimized geometry

Cell and atoms, written as POSCAR:
```
MoAuSe2
1.0
3.833 -2.215 1.575
0.058 -4.690 0.273
2.658 -2.493 -2.966
Se Au Mo
2 1 1
Direct
0.750 0.750 0.750
0.250 0.250 0.250
0.500 0.500 0.500
0.000 0.000 0.000
```

Calculated values
Its formation energy without anion corrections is 0.385 eV per atom. The total energy is -4.884 eV/atom. The volume is 18.3 Å³ per atom. Its energy above the most stable polymorph in this dataset is 557 meV per atom.

---

Record 8
Compound: Zn4Ag7Hg
Source: Alexandria
Functional: GGA-PBE
Structure: optimized geometry

Cell and atoms, written as POSCAR:
```
Zn4Ag7Hg
1.0
-4.495 -1.989 -1.184
-2.113 -5.158 5.889
-4.972 3.266 2.594
Ag Zn Hg
7 4 1
Direct
0.215 0.118 0.452
0.785 0.882 0.548
0.349 0.574 0.728
0.500 0.000 0.000
0.928 0.353 0.790
0.072 0.647 0.210
0.651 0.426 0.272
0.431 0.776 0.363
0.295 0.332 0.078
0.705 0.668 0.922
0.569 0.224 0.637
0.000 0.000 0.000
```

Calculated values
The total energy is -1.935 eV/atom. The calculation puts the calculated formation energy at 0.178 eV per atom. The volume is 19.4 Å³ per atom.

---

Record 9
Compound: CoOs
Source: Alexandria
Functional: GGA-PBE
Structure: optimized geometry

Cell and atoms, written as POSCAR:
```
CoOs
1.0
6.394 0.000 0.000
0.000 6.394 0.000
0.000 0.000 6.394
Os Co
6 6
Direct
0.250 0.500 0.000
0.000 0.250 0.500
0.500 0.000 0.250
0.750 0.500 0.000
0.500 0.000 0.750
0.000 0.750 0.500
0.000 0.500 0.750
0.750 0.000 0.500
0.250 0.000 0.500
0.500 0.750 0.000
0.500 0.250 0.000
0.000 0.500 0.250
```

Calculated values
The total energy is -7.525 eV/atom. The calculation puts the calculated formation energy at 1.643 eV per atom. The volume is 21.8 Å³ per atom.

---

Record 10
Compound: Ba2AuSe
Source: Alexandria
Functional: GGA-PBE
Structure: optimized geometry

Cell and atoms, written as POSCAR:
```
Ba2AuSe
1.0
8.635 0.917 0.002
5.902 6.369 -0.002
-7.244 -3.692 3.049
Se Ba Au
1 2 1
Direct
0.458 0.458 0.000
0.298 0.798 0.500
0.039 0.039 0.000
0.705 0.205 0.500
```

Calculated values
Its formation energy without anion corrections is -1.196 eV per atom. The total energy is -3.848 eV/atom. The volume is 37.8 Å³ per atom.

---

Record 11
Compound: YCoSi3Ru
Source: Alexandria
Functional: GGA-PBE
Structure: optimized geometry

Cell and atoms, written as POSCAR:
```
YCoSi3Ru
1.0
-3.757 3.318 -1.973
-1.405 -4.738 -5.292
-3.074 -0.032 5.798
Si Y Ru Co
6 2 2 2
Direct
0.250 0.234 0.469
0.000 0.243 0.000
0.500 0.757 0.000
0.750 0.766 0.531
0.000 0.757 0.000
0.500 0.243 0.000
0.250 0.758 0.516
0.750 0.242 0.484
0.750 0.565 0.130
0.250 0.435 0.870
0.750 0.955 0.910
0.250 0.045 0.090
```

Calculated values
Its formation energy without anion corrections is -0.407 eV per atom. The total energy is -6.926 eV/atom. The volume is 17.8 Å³ per atom.

---

Record 12
Compound: Cu2OsSe
Source: Alexandria
Functional: GGA-PBE
Structure: optimized geometry

Cell and atoms, written as POSCAR:
```
Cu2OsSe
1.0
5.077 0.011 0.027
4.186 2.873 0.027
1.790 0.557 3.881
Os Se Cu
1 1 2
Direct
0.250 0.250 0.250
0.750 0.750 0.750
0.490 0.490 0.510
0.010 0.010 0.990
```

Calculated values
Its formation energy without anion corrections is 0.548 eV per atom. The total energy is -5.178 eV/atom. The volume is 14.1 Å³ per atom.